1.
A plane-wave DFT calculation with PBE was carried out for CeCo2Si after structural relaxation.

The calculation puts the total magnetization at 0.000 μB/atom. The formation energy from raw total energies comes out at -179 kJ/mol of formula units.

The space group is P4/nmm (No. 129, origin choice 2) and the conventional cell measures 3.754, 3.754 and 9.152 Å, with angles of 90.00, 90.00 and 90.00 degrees. The asymmetric unit holds Ce at (0.250, 0.250, 0.203), Co at (0.250, 0.250, 0.887), Co at (0.250, 0.750, 0.500) and Si at (0.250, 0.250, 0.636).

***

2.
A plane-wave DFT calculation with PBE was carried out for Ce12CoSi6 after structural relaxation.

The calculation puts the total magnetization at 0.358 μB/atom. The formation energy from raw total energies comes out at -663 kJ/mol of formula units.

The space group is R-3 (No. 148, hexagonal axes) and the conventional cell measures 11.4012, 11.4012 and 12.1813 Å, with angles of 90.00, 90.00 and 120.00 degrees. The asymmetric unit holds Ce at (0.0528, 0.2115, 0.3732), Ce at (0.0531, 0.8499, 0.8643), Co at (0.0000, 0.0000, 0.0000) and Si at (0.0027, 0.4184, 0.2554).

***

3.
A plane-wave DFT calculation with PBE was carried out for Ce3CoSi3 after structural relaxation.

The calculation puts the total magnetization at 0.190 μB/atom. The formation energy from raw total energies comes out at -309 kJ/mol of formula units.

The space group is P2_1/m (No. 11) and the conventional cell measures 6.067, 5.611 and 8.700 Å, with angles of 90.00, 94.89 and 90.00 degrees. The asymmetric unit holds Ce at (0.171, 0.250, 0.301), Ce at (0.280, 0.250, 0.947), Ce at (0.288, 0.750, 0.614), Co at (0.256, 0.750, 0.215), Si at (0.046, 0.250, 0.643), Si at (0.198, 0.750, 0.955) and Si at (0.436, 0.250, 0.631).

***

4.
A plane-wave DFT calculation with PBE was carried out for Ce4Co2Si after structural relaxation.

The calculation puts the total magnetization at 0.000 μB/atom. The formation energy from raw total energies comes out at -189 kJ/mol of formula units.

The space group is I-42d (No. 122) and the conventional cell measures 8.895, 8.895 and 7.717 Å, with angles of 90.00, 90.00 and 90.00 degrees. The asymmetric unit holds Ce at (0.076, 0.186, 0.325), Co at (0.128, 0.250, 0.625) and Si at (0.000, 0.000, 0.000).

***

5.
A plane-wave DFT calculation with PBE was carried out for CeCoSi after structural relaxation.

The calculation puts the total magnetization at 0.000 μB/atom. The formation energy from raw total energies comes out at -176 kJ/mol of formula units.

The space group is P-6m2 (No. 187) and the conventional cell measures 4.0716, 4.0716 and 3.8383 Å, with angles of 90.00, 90.00 and 120.00 degrees. The asymmetric unit holds Ce at (0.0000, 0.0000, 0.0000), Co at (0.6667, 0.3333, 0.5000) and Si at (0.3333, 0.6667, 0.5000).

***

6.
A plane-wave DFT calculation with PBE was carried out for Ce5CoSi2 after structural relaxation.

The calculation puts the total magnetization at 0.000 μB/atom. The formation energy from raw total energies comes out at -235 kJ/mol of formula units.

The space group is Cm (No. 8) and the conventional cell measures 10.791, 6.298 and 6.339 Å, with angles of 90.00, 125.43 and 90.00 degrees. The asymmetric unit holds Ce at (0.000, 0.000, 0.000), Ce at (0.229, 0.242, 0.819), Ce at (0.304, 0.236, 0.401), Co at (0.485, 0.500, 0.435), Si at (0.017, 0.500, 0.297) and Si at (0.021, 0.500, 0.922).